Entry 1:
Density functional theory data (PBE) for a relaxed BeCr2Rh crystal.

Cell: 4.0638 4.0640 4.0742 Å, 120.06 120.06 90.04°
Closest atoms and distances in Å follow each position.
Fractional positions:
Be: 0.7493 0.2507 0.5000  4 Rh 2.48-2.49, 4 Cr 2.49
Cr: 0.9990 0.0010 0.0000  4 Cr 2.47-2.51, 4 Be 2.49
Cr: 0.2528 0.7472 0.5000  4 Cr 2.47-2.51, 4 Rh 2.48-2.50
Rh: 0.4989 0.5011 0.0000  4 Cr 2.48-2.50, 4 Be 2.48-2.49

Results
raw total energy: -0.281 Ha/atom
DOS at the Fermi energy: 3.39 states/eV/cell
calculated density: 7.6 g cm⁻³
space group: Imm2
ΔH_f (0 K): -0.3 eV/f.u.

Entry 2:
Density functional theory data (PBE) for a relaxed BeCr2Rh crystal.

Cell: 2.6271 2.6271 6.6389 Å, 90.00 90.00 90.00°
Closest atoms and distances in Å follow each position.
Fractional positions:
Be: 0.5000 0.5000 0.7434  4 Rh 2.36, 4 Cr 2.41, 4 Be 2.63
Rh: 0.0000 0.0000 0.5241  4 Be 2.36, 4 Cr 2.57, 4 Rh 2.63
Cr: 0.0000 0.0000 0.9748  4 Be 2.41, 8 Cr 2.63-2.64
Cr: 0.5000 0.5000 0.2577  4 Rh 2.57, 8 Cr 2.63-2.64

Results
raw total energy: -0.279 Ha/atom
DOS at the Fermi energy: 3.45 states/eV/cell
calculated density: 7.8 g cm⁻³
space group: P4mm
ΔH_f (0 K): 0.0 eV/f.u.

Entry 3:
Density functional theory data (PBE) for a relaxed BeCr2Rh crystal.

Cell: 3.2903 3.2903 9.1934 Å, 79.69 79.69 90.00°
Closest atoms and distances in Å follow each position.
Fractional positions:
Cr: 0.1597 0.6250 0.2500  2 Cr 2.17
Cr: 0.3750 0.4097 0.7500  2 Cr 2.17
Cr: 0.8750 0.8403 0.7500  2 Cr 2.17
Cr: 0.5903 0.1250 0.2500  2 Cr 2.17
Rh: 0.0000 0.0000 0.0000  4 Be 2.33, 4 Cr 2.55
Rh: 0.7500 0.2500 0.5000  4 Be 2.33, 4 Cr 2.55
Be: 0.2500 0.7500 0.5000  4 Rh 2.33, 4 Cr 2.47
Be: 0.5000 0.5000 0.0000  4 Rh 2.33, 4 Cr 2.47

Results
raw total energy: -0.268 Ha/atom
DOS at the Fermi energy: 4.83 states/eV/cell
calculated density: 7.4 g cm⁻³
space group: I-42d
ΔH_f (0 K): 1.1 eV/f.u.

Entry 4:
Density functional theory data (PBE) for a relaxed BeCr2Rh crystal.

Cell: 2.5735 2.5735 7.5297 Å, 90.00 90.00 110.55°
Closest atoms and distances in Å follow each position.
Fractional positions:
Cr: 0.0000 0.0000 0.9930  2 Be 2.34, 6 Cr 2.35-2.57
Cr: 0.5000 0.5000 0.2370  6 Cr 2.35-2.57, 2 Rh 2.58
Rh: 0.0000 0.0000 0.5192  2 Be 2.28
Be: 0.5000 0.5000 0.7508  2 Rh 2.28, 2 Cr 2.34

Results
raw total energy: -0.277 Ha/atom
DOS at the Fermi energy: 2.77 states/eV/cell
calculated density: 7.7 g cm⁻³
space group: Cmm2
ΔH_f (0 K): 0.2 eV/f.u.

Entry 5:
Density functional theory data (PBE) for a relaxed Be2Cr2Rh crystal.

Cell: 5.9955 5.9955 2.9905 Å, 90.00 90.00 90.00°
Closest atoms and distances in Å follow each position.
Fractional positions:
Cr: 0.1686 0.6686 0.5000  6 Be 2.30-2.33
Cr: 0.6686 0.8314 0.5000  6 Be 2.30-2.33
Cr: 0.3314 0.1686 0.5000  6 Be 2.30-2.33
Cr: 0.8314 0.3314 0.5000  6 Be 2.30-2.33
Be: 0.3745 0.8745 0.0000  1 Be 2.13, 6 Cr 2.30-2.33, 2 Rh 2.37
Be: 0.6255 0.1255 0.0000  1 Be 2.13, 6 Cr 2.30-2.33, 2 Rh 2.37
Be: 0.8745 0.6255 0.0000  1 Be 2.13, 6 Cr 2.30-2.33, 2 Rh 2.37
Be: 0.1255 0.3745 0.0000  1 Be 2.13, 6 Cr 2.30-2.33, 2 Rh 2.37
Rh: 0.0000 0.0000 0.0000  4 Be 2.37
Rh: 0.5000 0.5000 0.0000  4 Be 2.37

Results
raw total energy: -0.253 Ha/atom
DOS at the Fermi energy: 6.40 states/eV/cell
calculated density: 6.9 g cm⁻³
space group: P4/mbm
ΔH_f (0 K): -0.3 eV/f.u.

Entry 6:
Density functional theory data (PBE) for a relaxed BeCr2Rh crystal.

Cell: 3.8152 2.5845 5.1355 Å, 65.73 90.00 90.00°
Closest atoms and distances in Å follow each position.
Fractional positions:
Rh: 0.5000 0.2500 0.2500  2 Be 2.35, 2 Rh 2.58, 4 Cr 2.62
Cr: 0.0000 0.9984 0.9710  1 Cr 2.10
Cr: 0.0000 0.5016 0.5290  1 Cr 2.10
Be: 0.5000 0.7500 0.7500  2 Rh 2.35, 8 Cr 2.44-2.62, 2 Be 2.58

Results
raw total energy: -0.281 Ha/atom
DOS at the Fermi energy: 2.40 states/eV/cell
calculated density: 7.8 g cm⁻³
space group: P2/m
ΔH_f (0 K): -0.3 eV/f.u.